{"formula": "BaCoNiRu2", "functional": "PBE-GGA", "state": "optimized geometry", "formation_energy_ev_per_atom": 2.8242, "cell": [[4.967, 0.000, 0.000], [0.000, 4.675, 0.000], [0.000, 0.000, 4.967]], "species": ["Ni", "Ru", "Ru", "Co", "Ba"], "fractional_positions": [[0.500, 0.500, 0.500], [0.000, 0.000, 0.500], [0.500, 0.000, 0.000], [0.000, 0.500, 0.000], [0.000, 0.000, 0.000]]}